{
  "formula": "CaLa2YAs4",
  "functional": "PBE-GGA",
  "state": "optimized geometry",
  "space_group": "P2/m, No. 10",
  "dft_energy_ev_per_cell": -47.94,
  "lattice": [[7.338, 0.000, 0.000], [0.000, 4.305, 0.000], [-2.530, 0.000, 7.047]],
  "species": ["Ca", "La", "La", "Y", "As", "As", "As", "As"],
  "frac_coords": [[0.000, 0.000, 0.000], [0.500, 0.000, 0.500], [0.500, 0.500, 0.000], [0.000, 0.500, 0.500], [0.240, 0.000, 0.742], [0.244, 0.500, 0.254], [0.756, 0.500, 0.746], [0.760, 0.000, 0.258]]
}



{
  "formula": "TlBiTe2N",
  "functional": "PBE-GGA",
  "state": "optimized geometry",
  "raw_formation_energy_ev_per_atom": 0.750,
  "space_group": "P4/mmm, No. 123",
  "dft_energy_ev_per_cell": -17.11,
  "lattice": [[6.074, 0.000, 0.000], [0.000, 6.074, 0.000], [0.000, 0.000, 4.678]],
  "species": ["Tl", "Bi", "Te", "Te", "N"],
  "frac_coords": [[0.000, 0.000, 0.000], [0.500, 0.500, 0.500], [0.000, 0.500, 0.500], [0.500, 0.000, 0.500], [0.500, 0.500, 0.000]]
}



{
  "formula": "LiSc3Ni",
  "functional": "PBE-GGA",
  "state": "optimized geometry",
  "e_above_lowest_polymorph_kj_per_mol_atoms": 0.0,
  "space_group": "Pm-3m, No. 221",
  "dft_energy_ev_per_cell": -26.48,
  "lattice": [[4.944, 0.000, 0.000], [0.000, 4.944, 0.000], [0.000, 0.000, 4.944]],
  "species": ["Li", "Sc", "Sc", "Sc", "Ni"],
  "frac_coords": [[0.000, 0.000, 0.000], [0.000, 0.500, 0.500], [0.500, 0.000, 0.500], [0.500, 0.500, 0.000], [0.500, 0.500, 0.500]]
}



{
  "formula": "Te3Se",
  "functional": "PBE-GGA",
  "state": "optimized geometry",
  "raw_formation_energy_ev_per_atom": 0.362,
  "space_group": "P4/mmm, No. 123",
  "dft_energy_ev_per_cell": -11.46,
  "lattice": [[5.329, 0.000, 0.000], [0.000, 5.329, 0.000], [0.000, 0.000, 3.709]],
  "species": ["Te", "Te", "Te", "Se"],
  "frac_coords": [[0.000, 0.000, 0.000], [0.000, 0.500, 0.500], [0.500, 0.000, 0.500], [0.500, 0.500, 0.000]]
}



{
  "formula": "CrCS3",
  "functional": "PBE-GGA",
  "state": "optimized geometry",
  "raw_formation_energy_ev_per_atom": 1.474,
  "e_above_lowest_polymorph_kj_per_mol_atoms": 14.9,
  "space_group": "Pm-3m, No. 221",
  "dft_energy_ev_per_cell": -23.86,
  "lattice": [[4.468, 0.000, 0.000], [0.000, 4.468, 0.000], [0.000, 0.000, 4.468]],
  "species": ["Cr", "C", "S", "S", "S"],
  "frac_coords": [[0.000, 0.000, 0.000], [0.500, 0.500, 0.500], [0.000, 0.000, 0.500], [0.000, 0.500, 0.000], [0.500, 0.000, 0.000]]
}



{
  "formula": "Zr3Al2",
  "functional": "PBE-GGA",
  "state": "optimized geometry",
  "space_group": "P-3m1, No. 164",
  "dft_energy_ev_per_cell": -33.66,
  "lattice": [[4.668, 0.000, 0.000], [-2.334, 4.043, 0.000], [0.000, 0.000, 5.798]],
  "species": ["Zr", "Zr", "Zr", "Al", "Al"],
  "frac_coords": [[0.000, 0.000, 0.000], [0.333, 0.667, 0.348], [0.667, 0.333, 0.652], [0.333, 0.667, 0.837], [0.667, 0.333, 0.163]]
}



{
  "formula": "BaZn9Au2",
  "functional": "PBE-GGA",
  "state": "optimized geometry",
  "space_group": "I4_1/amd, No. 141",
  "dft_energy_ev_per_cell": -46.13,
  "lattice": [[-5.512, 5.512, 3.541], [5.512, -5.512, 3.541], [5.512, 5.512, -3.541]],
  "species": ["Ba", "Ba", "Zn", "Zn", "Zn", "Zn", "Zn", "Zn", "Zn", "Zn", "Zn", "Zn", "Zn", "Zn", "Zn", "Zn", "Zn", "Zn", "Zn", "Zn", "Au", "Au", "Au", "Au"],
  "frac_coords": [[0.375, 0.625, 0.750], [0.625, 0.375, 0.250], [0.125, 0.875, 0.250], [0.139, 0.557, 0.335], [0.139, 0.804, 0.583], [0.196, 0.279, 0.335], [0.196, 0.861, 0.917], [0.279, 0.196, 0.835], [0.279, 0.443, 0.083], [0.443, 0.279, 0.583], [0.443, 0.861, 0.165], [0.557, 0.139, 0.835], [0.557, 0.721, 0.417], [0.721, 0.557, 0.917], [0.721, 0.804, 0.165], [0.804, 0.139, 0.083], [0.804, 0.721, 0.665], [0.861, 0.196, 0.417], [0.861, 0.443, 0.665], [0.875, 0.125, 0.750], [0.000, 0.000, 0.000], [0.000, 0.000, 0.500], [0.000, 0.500, 0.000], [0.500, 0.000, 0.500]]
}



{
  "formula": "Sm4PuGe4",
  "functional": "PBE-GGA",
  "state": "optimized geometry",
  "space_group": "P4_2/n, No. 86",
  "dft_energy_ev_per_cell": -112.31,
  "lattice": [[9.079, 0.000, 0.000], [0.000, 9.079, 0.000], [0.000, 0.000, 5.979]],
  "species": ["Sm", "Sm", "Sm", "Sm", "Sm", "Sm", "Sm", "Sm", "Pu", "Pu", "Ge", "Ge", "Ge", "Ge", "Ge", "Ge", "Ge", "Ge"],
  "frac_coords": [[0.045, 0.672, 0.122], [0.172, 0.955, 0.622], [0.328, 0.545, 0.622], [0.455, 0.828, 0.122], [0.545, 0.172, 0.878], [0.672, 0.455, 0.378], [0.828, 0.045, 0.378], [0.955, 0.328, 0.878], [0.250, 0.250, 0.250], [0.750, 0.750, 0.750], [0.019, 0.629, 0.614], [0.129, 0.981, 0.114], [0.371, 0.519, 0.114], [0.481, 0.871, 0.614], [0.519, 0.129, 0.386], [0.629, 0.481, 0.886], [0.871, 0.019, 0.886], [0.981, 0.371, 0.386]]
}